{
  "formula": "RbSbSeN2",
  "functional": "GGA-PBEsol",
  "state": "optimized geometry",
  "cell": [[-1.5601, 1.5309, 3.7505], [-0.6192, -4.0619, 1.4005], [4.9418, -0.0391, 2.0716]],
  "species": ["N", "Sb", "N", "Rb", "Se"],
  "fractional_positions": [[0.5000, 0.0000, 0.0000], [0.0000, 0.0000, 0.0000], [0.0000, 0.5000, 0.0000], [0.5000, 0.5000, 0.5000], [0.0000, 0.0000, 0.5000]],
  "raw_formation_energy_mev_per_atom": 806,
  "sg": "No. 123",
  "e_tot_ry_per_atom": -0.330
}

{
  "formula": "ZnSbTe2Ru",
  "functional": "GGA-PBEsol",
  "state": "optimized geometry",
  "cell": [[4.9051, 0.0000, 0.0000], [0.0000, 5.0522, 0.0000], [0.0000, 0.0000, 5.0522]],
  "species": ["Sb", "Te", "Te", "Zn", "Ru"],
  "fractional_positions": [[0.5000, 0.0000, 0.0000], [0.0000, 0.0000, 0.5000], [0.0000, 0.5000, 0.0000], [0.0000, 0.0000, 0.0000], [0.5000, 0.5000, 0.5000]],
  "raw_formation_energy_mev_per_atom": 1247,
  "sg": "No. 123",
  "e_tot_ry_per_atom": -0.252
}

{
  "formula": "HfBe13",
  "functional": "GGA-PBEsol",
  "state": "optimized geometry",
  "cell": [[7.0094, 0.0000, 0.0000], [3.5047, 6.0703, 0.0000], [3.5047, 2.0234, 5.7231]],
  "species": ["Be", "Be", "Be", "Be", "Be", "Be", "Be", "Be", "Be", "Be", "Be", "Be", "Be", "Be", "Be", "Be", "Be", "Be", "Be", "Be", "Be", "Be", "Be", "Hf", "Be", "Be", "Hf", "Be"],
  "fractional_positions": [[0.2942, 0.0614, 0.9386], [0.7942, 0.4386, 0.5614], [0.7942, 0.2058, 0.4386], [0.7058, 0.0614, 0.2942], [0.2058, 0.7942, 0.5614], [0.0614, 0.7058, 0.9386], [0.4386, 0.7942, 0.2058], [0.5614, 0.7942, 0.4386], [0.5614, 0.2058, 0.7942], [0.2058, 0.4386, 0.7942], [0.2942, 0.9386, 0.7058], [0.2942, 0.7058, 0.0614], [0.9386, 0.7058, 0.2942], [0.4386, 0.5614, 0.7942], [0.7058, 0.2942, 0.9386], [0.7058, 0.9386, 0.0614], [0.0614, 0.2942, 0.7058], [0.5614, 0.4386, 0.2058], [0.9386, 0.0614, 0.7058], [0.5000, 0.5000, 0.5000], [0.7942, 0.5614, 0.2058], [0.0000, 0.0000, 0.0000], [0.4386, 0.2058, 0.5614], [0.7500, 0.7500, 0.7500], [0.9386, 0.2942, 0.0614], [0.2058, 0.5614, 0.4386], [0.2500, 0.2500, 0.2500], [0.0614, 0.9386, 0.2942]],
  "delta_e_f_ev_per_atom": -0.168,
  "sg": "No. 226",
  "e_tot_ry_per_atom": -0.340
}

{
  "formula": "InRe2Pb",
  "functional": "GGA-PBEsol",
  "state": "optimized geometry",
  "cell": [[-0.3040, 0.8124, -2.9964], [-2.5297, -3.7421, -0.7579], [-4.2038, 2.6120, 1.1347]],
  "species": ["Re", "Re", "In", "Pb"],
  "fractional_positions": [[0.5000, 0.0000, 0.5000], [0.0000, 0.0000, 0.0000], [0.5000, 0.5000, 0.0000], [0.0000, 0.5000, 0.5000]],
  "relative_energy_ev_per_atom": 0.047,
  "delta_e_f_ev_per_atom": 1.082,
  "sg": "No. 47",
  "e_tot_ry_per_atom": -0.539
}

{
  "formula": "PSeO2",
  "functional": "GGA-PBEsol",
  "state": "optimized geometry",
  "cell": [[2.9156, 0.0000, 0.0000], [1.4578, 2.5250, 0.0000], [1.4578, 0.8417, 8.6445]],
  "species": ["O", "P", "O", "Se"],
  "fractional_positions": [[0.0570, 0.0570, 0.8289], [0.0000, 0.0000, 0.0000], [0.9430, 0.9430, 0.1711], [0.5000, 0.5000, 0.5000]],
  "raw_formation_energy_mev_per_atom": -282,
  "relative_energy_ev_per_atom": 0.206,
  "sg": "No. 166",
  "e_tot_ry_per_atom": -0.391
}

{
  "formula": "NiClO2",
  "functional": "GGA-PBEsol",
  "state": "optimized geometry",
  "cell": [[-2.8250, -2.0280, 4.0033], [4.2546, -2.7392, -1.8975], [4.4019, -0.3313, 2.9384]],
  "species": ["Ni", "O", "Cl", "O", "O", "Ni", "O", "Cl"],
  "fractional_positions": [[0.0000, 0.0000, 0.0000], [0.7614, 0.7500, 0.3750], [0.5000, 0.0000, 0.5000], [0.9886, 0.7500, 0.8750], [0.3750, 0.2500, 0.9886], [0.7500, 0.5000, 0.7500], [0.8750, 0.2500, 0.7614], [0.2500, 0.5000, 0.2500]],
  "raw_formation_energy_mev_per_atom": 50,
  "sg": "No. 122",
  "e_tot_ry_per_atom": -0.339
}

{
  "formula": "AlInCl",
  "functional": "GGA-PBEsol",
  "state": "optimized geometry",
  "cell": [[-1.8744, 1.1261, 4.4760], [-3.3887, -2.9844, 2.1039], [1.2222, -2.7437, 3.9743]],
  "species": ["Al", "Cl", "In"],
  "fractional_positions": [[0.5000, 0.5000, 0.5000], [0.2500, 0.2500, 0.2500], [0.0000, 0.0000, 0.0000]],
  "raw_formation_energy_mev_per_atom": 227,
  "sg": "No. 216",
  "e_tot_ry_per_atom": -0.206
}

{
  "formula": "FeRe2Au",
  "functional": "GGA-PBEsol",
  "state": "optimized geometry",
  "cell": [[4.3387, 0.0000, 0.0000], [2.1694, 3.7575, 0.0000], [2.1694, 1.2525, 3.5426]],
  "species": ["Re", "Au", "Fe", "Re"],
  "fractional_positions": [[0.0000, 0.0000, 0.0000], [0.5000, 0.5000, 0.5000], [0.2500, 0.2500, 0.2500], [0.7500, 0.7500, 0.7500]],
  "relative_energy_ev_per_atom": 0.184,
  "delta_e_f_ev_per_atom": 0.517,
  "sg": "No. 216",
  "e_tot_ry_per_atom": -0.689
}

{
  "formula": "SrTc3Ir",
  "functional": "GGA-PBEsol",
  "state": "optimized geometry",
  "cell": [[-0.0466, -3.8899, 2.3069], [1.9646, -2.0954, -3.4935], [4.0735, 0.9661, 1.7112]],
  "species": ["Tc", "Sr", "Ir", "Tc", "Tc"],
  "fractional_positions": [[0.0000, 0.0000, 0.5000], [0.0000, 0.0000, 0.0000], [0.5000, 0.5000, 0.5000], [0.0000, 0.5000, 0.0000], [0.5000, 0.0000, 0.0000]],
  "delta_e_f_ev_per_atom": 3.254,
  "sg": "No. 221",
  "e_tot_ry_per_atom": -0.429
}

{
  "formula": "Si3Cl8O2",
  "functional": "GGA-PBEsol",
  "state": "optimized geometry",
  "cell": [[-1.2121, 5.5964, 2.7411], [-5.8042, -5.1134, 7.8735], [17.5105, -1.9194, 11.6618]],
  "species": ["Cl", "O", "Cl", "Cl", "O", "Cl", "Cl", "Cl", "Cl", "Cl", "Cl", "O", "Si", "Si", "Si", "O", "Si", "Cl", "Cl", "Si", "Si", "Cl", "Cl", "Cl", "Cl", "Cl", "Si", "Cl", "Cl", "Si", "Cl", "Cl", "Cl", "O", "Cl", "Cl", "O", "Cl", "Cl", "Cl", "O", "Si", "Cl", "Si", "Cl", "Si", "Cl", "O", "Cl", "Cl", "Si", "Cl"],
  "fractional_positions": [[0.5878, 0.9298, 0.5811], [0.6378, 0.3620, 0.8116], [0.9645, 0.9302, 0.3863], [0.4115, 0.8795, 0.2500], [0.8622, 0.8620, 0.8116], [0.0885, 0.3795, 0.2500], [0.4122, 0.0702, 0.4189], [0.7145, 0.1707, 0.2500], [0.9586, 0.2135, 0.0630], [0.5885, 0.1205, 0.7500], [0.9115, 0.6205, 0.7500], [0.6378, 0.3620, 0.6884], [0.0294, 0.1997, 0.2500], [0.4706, 0.6997, 0.2500], [0.9706, 0.8003, 0.7500], [0.3622, 0.6380, 0.3116], [0.3821, 0.5909, 0.3840], [0.5355, 0.4302, 0.1137], [0.9122, 0.4298, 0.9189], [0.6179, 0.4091, 0.8840], [0.8821, 0.9091, 0.6160], [0.9586, 0.2135, 0.4370], [0.0878, 0.5702, 0.4189], [0.0355, 0.0698, 0.8863], [0.4122, 0.0702, 0.0811], [0.0355, 0.0698, 0.6137], [0.1179, 0.0909, 0.3840], [0.0414, 0.7865, 0.9370], [0.5414, 0.7135, 0.4370], [0.5294, 0.3003, 0.7500], [0.4586, 0.2865, 0.9370], [0.4586, 0.2865, 0.5630], [0.0878, 0.5702, 0.0811], [0.1378, 0.1380, 0.3116], [0.7855, 0.6707, 0.2500], [0.5355, 0.4302, 0.3863], [0.3622, 0.6380, 0.1884], [0.2855, 0.8293, 0.7500], [0.4645, 0.5698, 0.6137], [0.5414, 0.7135, 0.0630], [0.8622, 0.8620, 0.6884], [0.8821, 0.9091, 0.8840], [0.4645, 0.5698, 0.8863], [0.3821, 0.5909, 0.1160], [0.0414, 0.7865, 0.5630], [0.1179, 0.0909, 0.1160], [0.9645, 0.9302, 0.1137], [0.1378, 0.1380, 0.1884], [0.9122, 0.4298, 0.5811], [0.2145, 0.3293, 0.7500], [0.6179, 0.4091, 0.6160], [0.5878, 0.9298, 0.9189]],
  "raw_formation_energy_mev_per_atom": -1584,
  "sg": "No. 62",
  "e_tot_ry_per_atom": -0.364
}

{
  "formula": "BeCuF2",
  "functional": "GGA-PBEsol",
  "state": "optimized geometry",
  "cell": [[2.5123, 0.0000, 0.0000], [1.2562, 2.1758, 0.0000], [1.2562, 0.7253, 8.2206]],
  "species": ["Be", "Cu", "F", "F"],
  "fractional_positions": [[0.5000, 0.5000, 0.5000], [0.0000, 0.0000, 0.0000], [0.8705, 0.8705, 0.3886], [0.1295, 0.1295, 0.6114]],
  "raw_formation_energy_mev_per_atom": -1977,
  "relative_energy_ev_per_atom": 0.000,
  "sg": "No. 166",
  "e_tot_ry_per_atom": -0.369
}

{
  "formula": "K2AgSb",
  "functional": "GGA-PBEsol",
  "state": "optimized geometry",
  "cell": [[3.0797, 0.0000, 0.0000], [0.0000, 6.2716, 0.0000], [0.0000, 0.0000, 6.7457]],
  "species": ["K", "Ag", "Sb", "K"],
  "fractional_positions": [[0.5000, 0.5000, 0.3729], [0.5000, 0.5000, 0.8718], [0.0000, 0.0000, 0.3778], [0.0000, 0.0000, 0.8776]],
  "raw_formation_energy_mev_per_atom": 76,
  "sg": "No. 25",
  "e_tot_ry_per_atom": -0.181
}

Repeat the sixth record exactly.
{
  "formula": "NiClO2",
  "functional": "GGA-PBEsol",
  "state": "optimized geometry",
  "cell": [[-2.8250, -2.0280, 4.0033], [4.2546, -2.7392, -1.8975], [4.4019, -0.3313, 2.9384]],
  "species": ["Ni", "O", "Cl", "O", "O", "Ni", "O", "Cl"],
  "fractional_positions": [[0.0000, 0.0000, 0.0000], [0.7614, 0.7500, 0.3750], [0.5000, 0.0000, 0.5000], [0.9886, 0.7500, 0.8750], [0.3750, 0.2500, 0.9886], [0.7500, 0.5000, 0.7500], [0.8750, 0.2500, 0.7614], [0.2500, 0.5000, 0.2500]],
  "raw_formation_energy_mev_per_atom": 50,
  "sg": "No. 122",
  "e_tot_ry_per_atom": -0.339
}